No. 1
AlInNi2 at its PBEsol-relaxed geometry. Source: Alexandria, functional meta-GGA SCAN.

Summary:
**Fermi-level density of states**: 0.41 states/eV/atom

Structure (CIF):
```
data_AlInNi2
_symmetry_space_group_name_H-M 'C 1 2/m 1'
_symmetry_Int_Tables_number 12
_symmetry_space_group_name_Hall '-C 2y'
_cell_length_a 7.957
_cell_length_b 2.836
_cell_length_c 5.061
_cell_angle_alpha 90.00
_cell_angle_beta 101.29
_cell_angle_gamma 90.00
loop_
_atom_site_label
_atom_site_type_symbol
_atom_site_fract_x
_atom_site_fract_y
_atom_site_fract_z
Al1 Al 0.000 0.000 0.000
In1 In 0.000 0.500 0.500
Ni1 Ni 0.244 0.500 0.215
```

***

No. 2
AlIn2Ni at its PBEsol-relaxed geometry. Source: Alexandria, functional meta-GGA SCAN.

Summary:
**Fermi-level density of states**: 0.36 states/eV/atom

Structure (CIF):
```
data_AlIn2Ni
_symmetry_space_group_name_H-M 'R -3 m'
_symmetry_Int_Tables_number 166
_symmetry_space_group_name_Hall '-R 3 2"'
_cell_length_a 3.1726
_cell_length_b 3.1726
_cell_length_c 25.1716
_cell_angle_alpha 90.00
_cell_angle_beta 90.00
_cell_angle_gamma 120.00
loop_
_atom_site_label
_atom_site_type_symbol
_atom_site_fract_x
_atom_site_fract_y
_atom_site_fract_z
Al1 Al 0.0000 0.0000 0.0000
In1 In 0.0000 0.0000 0.2406
Ni1 Ni 0.0000 0.0000 0.5000
```

***

No. 3
AlInNi2 at its PBEsol-relaxed geometry. Source: Alexandria, functional meta-GGA SCAN.

Summary:
**Fermi-level density of states**: 0.45 states/eV/atom

Structure (CIF):
```
data_AlInNi2
_symmetry_space_group_name_H-M 'P 4/m m m'
_symmetry_Int_Tables_number 123
_symmetry_space_group_name_Hall '-P 4 2'
_cell_length_a 2.928
_cell_length_b 2.928
_cell_length_c 6.207
_cell_angle_alpha 90.00
_cell_angle_beta 90.00
_cell_angle_gamma 90.00
loop_
_atom_site_label
_atom_site_type_symbol
_atom_site_fract_x
_atom_site_fract_y
_atom_site_fract_z
Al1 Al 0.000 0.000 0.000
In1 In 0.000 0.000 0.500
Ni1 Ni 0.500 0.500 0.217
```

***

No. 4
Al2InNi at its PBEsol-relaxed geometry. Source: Alexandria, functional meta-GGA SCAN.

Summary:
**Fermi-level density of states**: 0.28 states/eV/atom

Structure (CIF):
```
data_Al2InNi
_symmetry_space_group_name_H-M 'C m m m'
_symmetry_Int_Tables_number 65
_symmetry_space_group_name_Hall '-C 2 2'
_cell_length_a 5.224
_cell_length_b 7.664
_cell_length_c 3.227
_cell_angle_alpha 90.00
_cell_angle_beta 90.00
_cell_angle_gamma 90.00
loop_
_atom_site_label
_atom_site_type_symbol
_atom_site_fract_x
_atom_site_fract_y
_atom_site_fract_z
Al1 Al 0.250 0.250 0.000
In1 In 0.000 0.000 0.500
Ni1 Ni 0.000 0.500 0.500
```

***

Number 1: formation enthalpy at 0 K -0.5 eV per formula unit, total energy -148.03 eV for the cell shown. Number 2: formation enthalpy at 0 K 0.5 eV per formula unit, total energy -270.63 eV for the cell shown. Number 3: formation enthalpy at 0 K -1.6 eV per formula unit, total energy -75.12 eV for the cell shown. Number 4: formation enthalpy at 0 K 0.2 eV per formula unit, total energy -129.75 eV for the cell shown.